A | The following is a DFT calculation (GGA-PBE) of a relaxed LaNdCuPd crystal.

Structure (CIF):
```
data_LaNdCuPd
_symmetry_space_group_name_H-M 'A m m 2'
_symmetry_Int_Tables_number 38
_symmetry_space_group_name_Hall 'A 2 -2'
_cell_length_a 4.623
_cell_length_b 3.938
_cell_length_c 11.005
_cell_angle_alpha 90.00
_cell_angle_beta 90.00
_cell_angle_gamma 90.00
loop_
_atom_site_label
_atom_site_type_symbol
_atom_site_fract_x
_atom_site_fract_y
_atom_site_fract_z
La1 La 0.000 0.000 0.000
Nd1 Nd 0.500 0.000 0.725
Cu1 Cu 0.000 0.000 0.286
Pd1 Pd 0.500 0.000 0.437
```


B | The following is a DFT calculation (GGA-PBE) of a relaxed LaNdCuPd crystal.

Structure (CIF):
```
data_LaNdCuPd
_symmetry_space_group_name_H-M 'F -4 3 m'
_symmetry_Int_Tables_number 216
_symmetry_space_group_name_Hall 'F -4 2 3'
_cell_length_a 7.294
_cell_length_b 7.294
_cell_length_c 7.294
_cell_angle_alpha 90.00
_cell_angle_beta 90.00
_cell_angle_gamma 90.00
loop_
_atom_site_label
_atom_site_type_symbol
_atom_site_fract_x
_atom_site_fract_y
_atom_site_fract_z
La1 La 0.000 0.000 0.000
Nd1 Nd 0.000 0.000 0.500
Cu1 Cu 0.250 0.250 0.750
Pd1 Pd 0.250 0.250 0.250
```


It turns out A is the most stable, with the second structure 0.061 eV/atom higher.